## MgAlSb3 (PBE)

Data for an optimized crystal structure of MgAlSb3.

The value obtained for the energy above the most stable polymorph in this dataset is 0.000 eV per atom. The calculation puts the formation energy from raw total energies at 0.461 eV/atom. The total energy comes out at -0.22635 Ry per atom.

Cell lengths 5.304, 5.304, 5.304 Å; angles 90.00, 90.00, 90.00 degrees
Positions (direct):
Mg 0.000 0.000 0.000
Al 0.500 0.500 0.500
Sb 0.000 0.500 0.500
Sb 0.500 0.000 0.500
Sb 0.500 0.500 0.000

***

## Mg4AlSb (PBE)

Data for an optimized crystal structure of Mg4AlSb.

The calculation puts the formation energy from raw total energies at 0.126 eV/atom. The total energy comes out at -0.16519 Ry per atom.

Cell lengths 5.805, 5.805, 5.805 Å; angles 60.00, 60.00, 60.00 degrees
Positions (direct):
Mg 0.125 0.125 0.125
Mg 0.125 0.125 0.625
Mg 0.125 0.625 0.125
Mg 0.625 0.125 0.125
Al 0.500 0.500 0.500
Sb 0.750 0.750 0.750

***

## Mg2AlSb2 (PBE)

Data for an optimized crystal structure of Mg2AlSb2.

The value obtained for the energy above the most stable polymorph in this dataset is 0.096 eV per atom. The calculation puts the formation energy from raw total energies at 0.067 eV/atom. The total energy comes out at -0.21817 Ry per atom.

Cell lengths 7.208, 7.208, 7.208 Å; angles 142.11, 142.11, 54.66 degrees
Positions (direct):
Mg 0.250 0.750 0.500
Mg 0.750 0.250 0.500
Al 0.000 0.000 0.000
Sb 0.382 0.382 0.000
Sb 0.618 0.618 0.000

***

## MgAl2Sb2 (PBE)

Data for an optimized crystal structure of MgAl2Sb2.

The value obtained for the energy above the most stable polymorph in this dataset is 0.000 eV per atom. The calculation puts the formation energy from raw total energies at -0.021 eV/atom. The total energy comes out at -0.25621 Ry per atom.

Cell lengths 4.941, 4.941, 5.845 Å; angles 90.00, 90.00, 120.00 degrees
Positions (direct):
Mg 0.000 0.000 0.000
Al 0.333 0.667 0.742
Al 0.667 0.333 0.258
Sb 0.333 0.667 0.251
Sb 0.667 0.333 0.749

***

## MgAl2Sb2 (PBE)

Data for an optimized crystal structure of MgAl2Sb2.

The value obtained for the energy above the most stable polymorph in this dataset is 0.119 eV per atom. The calculation puts the formation energy from raw total energies at 0.097 eV/atom. The total energy comes out at -0.24750 Ry per atom.

Cell lengths 7.876, 7.876, 3.828 Å; angles 90.00, 90.00, 90.00 degrees
Positions (direct):
Mg 0.000 0.000 0.000
Mg 0.500 0.500 0.000
Al 0.130 0.370 0.500
Al 0.370 0.870 0.500
Al 0.630 0.130 0.500
Al 0.870 0.630 0.500
Sb 0.167 0.667 0.000
Sb 0.333 0.167 0.000
Sb 0.667 0.833 0.000
Sb 0.833 0.333 0.000

***

## Mg3Al12Sb5 (PBE)

Data for an optimized crystal structure of Mg3Al12Sb5.

The calculation puts the formation energy from raw total energies at 0.250 eV/atom. The total energy comes out at -0.24002 Ry per atom.

Cell lengths 13.938, 13.938, 13.938 Å; angles 109.47, 109.47, 109.47 degrees
Positions (direct):
Mg 0.125 0.250 0.375
Mg 0.125 0.375 0.750
Mg 0.250 0.375 0.125
Mg 0.250 0.875 0.625
Mg 0.375 0.125 0.250
Mg 0.375 0.750 0.125
Mg 0.625 0.250 0.875
Mg 0.625 0.875 0.750
Mg 0.750 0.125 0.375
Mg 0.750 0.625 0.875
Mg 0.875 0.625 0.250
Mg 0.875 0.750 0.625
Al 0.072 0.236 0.144
Al 0.072 0.336 0.928
Al 0.072 0.644 0.408
Al 0.072 0.928 0.664
Al 0.092 0.736 0.664
Al 0.092 0.856 0.428
Al 0.144 0.072 0.236
Al 0.144 0.572 0.908
Al 0.164 0.236 0.592
Al 0.164 0.428 0.572
Al 0.236 0.144 0.072
Al 0.236 0.592 0.164
Al 0.264 0.336 0.908
Al 0.264 0.428 0.356
Al 0.336 0.908 0.264
Al 0.336 0.928 0.072
Al 0.356 0.264 0.428
Al 0.356 0.592 0.928
Al 0.408 0.072 0.644
Al 0.408 0.836 0.764
Al 0.428 0.092 0.856
Al 0.428 0.356 0.264
Al 0.428 0.572 0.164
Al 0.428 0.836 0.572
Al 0.572 0.164 0.428
Al 0.572 0.428 0.836
Al 0.572 0.644 0.736
Al 0.572 0.908 0.144
Al 0.592 0.164 0.236
Al 0.592 0.928 0.356
Al 0.644 0.408 0.072
Al 0.644 0.736 0.572
Al 0.664 0.072 0.928
Al 0.664 0.092 0.736
Al 0.736 0.572 0.644
Al 0.736 0.664 0.092
Al 0.764 0.408 0.836
Al 0.764 0.856 0.928
Al 0.836 0.572 0.428
Al 0.836 0.764 0.408
Al 0.856 0.428 0.092
Al 0.856 0.928 0.764
Al 0.908 0.144 0.572
Al 0.908 0.264 0.336
Al 0.928 0.072 0.336
Al 0.928 0.356 0.592
Al 0.928 0.664 0.072
Al 0.928 0.764 0.856
Sb 0.000 0.000 0.000
Sb 0.000 0.000 0.500
Sb 0.000 0.500 0.000
Sb 0.000 0.500 0.500
Sb 0.125 0.750 0.875
Sb 0.125 0.875 0.250
Sb 0.250 0.125 0.875
Sb 0.250 0.625 0.375
Sb 0.375 0.250 0.625
Sb 0.375 0.625 0.750
Sb 0.500 0.000 0.000
Sb 0.500 0.000 0.500
Sb 0.500 0.500 0.000
Sb 0.500 0.500 0.500
Sb 0.625 0.375 0.250
Sb 0.625 0.750 0.375
Sb 0.750 0.375 0.625
Sb 0.750 0.875 0.125
Sb 0.875 0.125 0.750
Sb 0.875 0.250 0.125

***

## MgAlSb2Te (PBE)

Data for an optimized crystal structure of MgAlSb2Te.

The value obtained for the energy above the most stable polymorph in this dataset is 0.187 eV per atom. The calculation puts the formation energy from raw total energies at 0.563 eV/atom. The total energy comes out at -0.20446 Ry per atom.

Cell lengths 5.379, 5.379, 5.574 Å; angles 90.00, 90.00, 90.00 degrees
Positions (direct):
Mg 0.000 0.000 0.000
Al 0.500 0.500 0.500
Sb 0.000 0.500 0.000
Sb 0.500 0.000 0.000
Te 0.000 0.000 0.500

***

## MgAlSb2Te (PBE)

Data for an optimized crystal structure of MgAlSb2Te.

The value obtained for the energy above the most stable polymorph in this dataset is 0.000 eV per atom. The calculation puts the formation energy from raw total energies at 0.376 eV/atom. The total energy comes out at -0.21819 Ry per atom.

Cell lengths 5.273, 5.273, 5.447 Å; angles 90.00, 90.00, 90.00 degrees
Positions (direct):
Mg 0.000 0.000 0.000
Al 0.500 0.500 0.500
Sb 0.000 0.500 0.500
Sb 0.500 0.000 0.500
Te 0.500 0.500 0.000

***

## MgTiAl2Sb (PBE)

Data for an optimized crystal structure of MgTiAl2Sb.

The value obtained for the energy above the most stable polymorph in this dataset is 0.000 eV per atom. The calculation puts the formation energy from raw total energies at 0.424 eV/atom. The total energy comes out at -0.27895 Ry per atom.

Cell lengths 5.036, 5.036, 5.179 Å; angles 90.00, 90.00, 90.00 degrees
Positions (direct):
Mg 0.000 0.000 0.000
Ti 0.500 0.500 0.500
Al 0.000 0.500 0.500
Al 0.500 0.000 0.500
Sb 0.500 0.500 0.000

***

## Mg2ScAl (PBE)

Data for an optimized crystal structure of Mg2ScAl.

The energy relative to the elements is 35 meV per atom. The total energy comes out at -0.24117 Ry per atom.

Cell lengths 10.507, 10.507, 10.507 Å; angles 17.01, 17.01, 17.01 degrees
Positions (direct):
Mg 0.245 0.245 0.245
Mg 0.755 0.755 0.755
Sc 0.000 0.000 0.000
Al 0.500 0.500 0.500

***

## Mg2ScAl (PBE)

Data for an optimized crystal structure of Mg2ScAl.

The energy relative to the elements is -25 meV per atom. The total energy comes out at -0.24554 Ry per atom.

Cell lengths 5.533, 5.533, 3.114 Å; angles 90.00, 90.00, 114.69 degrees
Positions (direct):
Mg 0.000 0.500 0.000
Mg 0.500 0.000 0.000
Sc 0.000 0.000 0.500
Al 0.500 0.500 0.500

***

## MgSc3Al2 (PBE)

Data for an optimized crystal structure of MgSc3Al2.

The energy relative to the elements is -324 meV per atom. The total energy comes out at -0.36770 Ry per atom.

Cell lengths 3.326, 3.326, 11.141 Å; angles 90.00, 90.00, 90.00 degrees
Positions (direct):
Mg 0.000 0.000 0.000
Sc 0.500 0.500 0.184
Sc 0.500 0.500 0.500
Sc 0.500 0.500 0.816
Al 0.000 0.000 0.339
Al 0.000 0.000 0.661

***

## Mg16ScAl12 (PBE)

Data for an optimized crystal structure of Mg16ScAl12.

The value obtained for the energy above the most stable polymorph in this dataset is 0.000 eV per atom. The energy relative to the elements is -65 meV per atom. The total energy comes out at -0.19930 Ry per atom.

Cell lengths 9.102, 9.102, 9.102 Å; angles 109.47, 109.47, 109.47 degrees
Positions (direct):
Mg 0.000 0.000 0.649
Mg 0.000 0.396 0.681
Mg 0.000 0.649 0.000
Mg 0.000 0.681 0.396
Mg 0.286 0.604 0.604
Mg 0.319 0.319 0.714
Mg 0.319 0.714 0.319
Mg 0.351 0.351 0.351
Mg 0.396 0.000 0.681
Mg 0.396 0.681 0.000
Mg 0.604 0.286 0.604
Mg 0.604 0.604 0.286
Mg 0.649 0.000 0.000
Mg 0.681 0.000 0.396
Mg 0.681 0.396 0.000
Mg 0.714 0.319 0.319
Sc 0.000 0.000 0.000
Al 0.000 0.185 0.365
Al 0.000 0.365 0.185
Al 0.180 0.815 0.815
Al 0.185 0.000 0.365
Al 0.185 0.365 0.000
Al 0.365 0.000 0.185
Al 0.365 0.185 0.000
Al 0.635 0.635 0.820
Al 0.635 0.820 0.635
Al 0.815 0.180 0.815
Al 0.815 0.815 0.180
Al 0.820 0.635 0.635

***

## Mg2ScAl (PBE)

Data for an optimized crystal structure of Mg2ScAl.

The energy relative to the elements is -20 meV per atom. The total energy comes out at -0.24518 Ry per atom.

Cell lengths 3.147, 4.432, 6.135 Å; angles 90.00, 90.00, 90.00 degrees
Positions (direct):
Mg 0.000 0.000 0.241
Mg 0.000 0.000 0.759
Sc 0.500 0.500 0.500
Al 0.500 0.500 0.000

***

## Mg2ScAl (PBE)

Data for an optimized crystal structure of Mg2ScAl.

The energy relative to the elements is -195 meV per atom. The total energy comes out at -0.25802 Ry per atom.

Cell lengths 4.057, 4.434, 4.595 Å; angles 90.00, 90.00, 90.00 degrees
Positions (direct):
Mg 0.000 0.000 0.000
Mg 0.500 0.500 0.000
Sc 0.000 0.500 0.500
Al 0.500 0.000 0.500

***

## Mg2ScAl (PBE)

Data for an optimized crystal structure of Mg2ScAl.

The energy relative to the elements is -36 meV per atom. The total energy comes out at -0.24634 Ry per atom.

Cell lengths 3.078, 3.078, 8.985 Å; angles 90.00, 90.00, 90.00 degrees
Positions (direct):
Mg 0.000 0.000 0.231
Mg 0.000 0.000 0.769
Sc 0.500 0.500 0.500
Al 0.500 0.500 0.000

***

## Mg2ScAl (PBE)

Data for an optimized crystal structure of Mg2ScAl.

The energy relative to the elements is -133 meV per atom. The total energy comes out at -0.25346 Ry per atom.

Cell lengths 3.104, 4.607, 6.165 Å; angles 90.00, 104.51, 90.00 degrees
Positions (direct):
Mg 0.000 0.000 0.000
Mg 0.385 0.500 0.776
Sc 0.654 0.500 0.304
Al 0.250 0.000 0.496

***

## Mg2Sc2Al (PBE)

Data for an optimized crystal structure of Mg2Sc2Al.

The value obtained for the energy above the most stable polymorph in this dataset is 0.144 eV per atom. The energy relative to the elements is 30 meV per atom. The total energy comes out at -0.28580 Ry per atom.

Cell lengths 7.072, 7.072, 4.517 Å; angles 90.00, 90.00, 90.00 degrees
Positions (direct):
Mg 0.138 0.362 0.000
Mg 0.362 0.862 0.000
Mg 0.638 0.138 0.000
Mg 0.862 0.638 0.000
Sc 0.168 0.668 0.500
Sc 0.332 0.168 0.500
Sc 0.668 0.832 0.500
Sc 0.832 0.332 0.500
Al 0.000 0.000 0.000
Al 0.500 0.500 0.000

***

## Mg4Sc3Al (PBE)

Data for an optimized crystal structure of Mg4Sc3Al.

The energy relative to the elements is -133 meV per atom. The total energy comes out at -0.27728 Ry per atom.

Cell lengths 10.525, 10.525, 5.008 Å; angles 103.66, 103.66, 19.10 degrees
Positions (direct):
Mg 0.129 0.129 0.131
Mg 0.247 0.247 0.746
Mg 0.753 0.753 0.254
Mg 0.871 0.871 0.869
Sc 0.386 0.386 0.384
Sc 0.500 0.500 0.000
Sc 0.614 0.614 0.616
Al 0.000 0.000 0.500

***

## Mg5Sc6Al (PBE)

Data for an optimized crystal structure of Mg5Sc6Al.

The energy relative to the elements is -121 meV per atom. The total energy comes out at -0.31330 Ry per atom.

Cell lengths 7.949, 7.949, 7.114 Å; angles 90.00, 90.00, 143.20 degrees
Positions (direct):
Mg 0.000 0.000 0.000
Mg 0.329 0.671 0.500
Mg 0.332 0.668 0.000
Mg 0.668 0.332 0.000
Mg 0.671 0.329 0.500
Sc 0.162 0.838 0.257
Sc 0.162 0.838 0.743
Sc 0.500 0.500 0.261
Sc 0.500 0.500 0.739
Sc 0.838 0.162 0.257
Sc 0.838 0.162 0.743
Al 0.000 0.000 0.500

***

## Mg2ScAl (PBE)

Data for an optimized crystal structure of Mg2ScAl.

The energy relative to the elements is -77 meV per atom. The total energy comes out at -0.24938 Ry per atom.

Cell lengths 5.494, 5.494, 5.494 Å; angles 133.78, 133.78, 67.42 degrees
Positions (direct):
Mg 0.250 0.750 0.500
Mg 0.750 0.250 0.500
Sc 0.000 0.000 0.000
Al 0.500 0.500 0.000

***

## Mg2Sc2Al (PBE)

Data for an optimized crystal structure of Mg2Sc2Al.

The value obtained for the energy above the most stable polymorph in this dataset is 0.282 eV per atom. The energy relative to the elements is 168 meV per atom. The total energy comes out at -0.27568 Ry per atom.

Cell lengths 7.625, 7.625, 4.078 Å; angles 90.00, 90.00, 90.00 degrees
Positions (direct):
Mg 0.154 0.346 0.000
Mg 0.346 0.846 0.000
Mg 0.654 0.154 0.000
Mg 0.846 0.654 0.000
Sc 0.148 0.648 0.500
Sc 0.352 0.148 0.500
Sc 0.648 0.852 0.500
Sc 0.852 0.352 0.500
Al 0.000 0.000 0.500
Al 0.500 0.500 0.500